DFT (GGA-PBE) results for crystalline La2PmHo5 at its relaxed geometry.

Computed properties:
Volume in Å³/cell: 263.36
Symmetry: Cmmm, No. 65
D(E_F) in states/eV per cell: 12.42
Formation energy from the elements in eV per atom: 0.025
Magnetization in μB per formula unit: 0.00
Excess energy over the best structure of this formula in the dataset in eV/atom: 0.000

a b c (Å): 3.621 10.052 8.810
angles (deg): 124.79 90.01 90.00
Atoms (fractional coordinates):
Ho 0.500 0.871 0.245
Ho 0.000 0.500 0.000
Ho 0.500 0.374 0.245
Ho 0.500 0.626 0.755
Ho 0.500 0.129 0.755
Pm 0.000 0.000 0.000
La 0.000 0.748 0.497
La 0.000 0.252 0.503